1.
A plane-wave DFT calculation with PBE was carried out for a relaxed structure of Na2BiPd5Au2.

a = 4.1740 Å, b = 9.5894 Å, c = 9.5894 Å
α = 90.00°, β = 90.00°, γ = 90.00°
Element x y z (fractional)
Pd 0.5000 0.8003 0.9330
Pd 0.5000 0.6997 0.4330
Pd 0.5000 0.3003 0.5670
Pd 0.5000 0.0670 0.8003
Pd 0.5000 0.1997 0.0670
Pd 0.5000 0.9330 0.1997
Pd 0.5000 0.0000 0.5000
Pd 0.5000 0.4330 0.3003
Pd 0.5000 0.5000 0.0000
Pd 0.5000 0.5670 0.6997
Au 0.0000 0.3721 0.1279
Au 0.0000 0.6279 0.8721
Au 0.0000 0.8721 0.3721
Au 0.0000 0.1279 0.6279
Na 0.0000 0.8309 0.6691
Na 0.0000 0.6691 0.1691
Na 0.0000 0.1691 0.3309
Na 0.0000 0.3309 0.8309
Bi 0.0000 0.5000 0.5000
Bi 0.0000 0.0000 0.0000

***

2.
A plane-wave DFT calculation with PBE was carried out for a relaxed structure of NaBiPdAu.

a = 4.9026 Å, b = 4.9026 Å, c = 4.9026 Å
α = 60.00°, β = 60.00°, γ = 60.00°
Element x y z (fractional)
Pd 0.5000 0.5000 0.5000
Au 0.0000 0.0000 0.0000
Bi 0.7500 0.7500 0.7500
Na 0.2500 0.2500 0.2500

***

How do the records compare in calculated volume? In the order shown, they have 19.19, 20.83 A^3/atom.
How do the records compare in energy? In the order shown, they have -4.095, -3.656 eV/atom.